<a>
## CsRbAu (PBE-GGA)

Data for a geometry-optimized CsRbAu structure.

Output
* total moment: 0.00 μB/f.u.

Cell: 4.4045 4.4045 17.2255 Å, 90.00 90.00 90.00°
Last column: nearest neighbours and their distance in Å.
Space group I4mm (No. 107)
One atom of each set of equivalent atoms:
Cs  0.0000  0.0000  0.0000  4 Au 3.74, 1 Rb 4.04
Rb  0.0000  0.0000  0.2344  4 Au 3.68, 1 Cs 4.04
Au  0.0000  0.0000  0.6204  4 Rb 3.68, 4 Cs 3.74



<b>
## CsRbAu (PBE-GGA)

Data for a geometry-optimized CsRbAu structure.

Output
* total moment: 0.68 μB/f.u.

Cell: 8.5969 8.5969 8.5969 Å, 90.00 90.00 90.00°
Last column: nearest neighbours and their distance in Å.
Space group F-43m (No. 216)
One atom of each set of equivalent atoms:
Cs  0.0000  0.0000  0.0000  4 Au 3.72
Rb  0.0000  0.0000  0.5000  4 Au 3.72
Au  0.2500  0.2500  0.2500  4 Rb 3.72, 4 Cs 3.72



Going by the computed energies, the most stable comes first: <a>, <b>.



<a>
## Cs12Rb5Au3 (PBE-GGA)

Data for a geometry-optimized Cs12Rb5Au3 structure.

Output
* total moment: 0.00 μB/f.u.

Cell: 19.9374 19.9374 5.3411 Å, 90.00 90.00 120.00°
Last column: nearest neighbours and their distance in Å.
Space group P-62m (No. 189)
One atom of each set of equivalent atoms:
Cs  0.0000  0.2071  0.0000  2 Au 3.68
Cs  0.0000  0.4654  0.0000  2 Au 3.74
Cs  0.2086  0.4387  0.5000  1 Au 3.60
Rb  0.0000  0.7280  0.0000  7 Cs 4.90-5.24, 2 Rb 5.34
Rb  0.3333  0.6667  0.0000  6 Cs 4.76
Au  0.0000  0.3342  0.5000  6 Cs 3.60-3.74



<b>
## Cs12Rb5Au3 (PBE-GGA)

Data for a geometry-optimized Cs12Rb5Au3 structure.

Output
* total moment: 0.00 μB/f.u.

Cell: 25.4840 25.4840 25.4840 Å, 90.00 90.00 90.00°
Last column: nearest neighbours and their distance in Å.
Space group Ia-3d (No. 230)
One atom of each set of equivalent atoms:
Cs  0.0160  0.1120  0.6439  1 Au 3.57
Rb  0.0000  0.0000  0.0000  6 Cs 4.66
Rb  0.0000  0.2500  0.3750  4 Cs 4.81
Au  0.0000  0.2500  0.1250  4 Cs 3.57



Going by the computed energies, the most stable comes first: <a>, <b>.



<a>
## CsRb8Au2 (PBE-GGA)

Data for a geometry-optimized CsRb8Au2 structure.

Output
* total moment: 0.00 μB/f.u.

Cell: 16.8845 13.9912 6.9418 Å, 90.00 114.11 90.00°
Last column: nearest neighbours and their distance in Å.
Space group C2/m (No. 12)
One atom of each set of equivalent atoms:
Cs  0.0000  0.0000  0.0000  4 Au 4.19, 6 Rb 4.31-4.37
Rb  0.0000  0.3081  0.0000  2 Au 3.98, 1 Cs 4.31, 4 Rb 4.39-4.40
Rb  0.1721  0.0000  0.6717  2 Au 3.55
Rb  0.1733  0.3312  0.6731  1 Au 3.51
Au  0.0000  0.1682  0.5000  4 Rb 3.51-3.55



<b>
## CsRb8Au2 (PBE-GGA)

Data for a geometry-optimized CsRb8Au2 structure.

Output
* total moment: 0.00 μB/f.u.

Cell: 11.4794 17.5730 7.3888 Å, 90.00 98.94 90.00°
Last column: nearest neighbours and their distance in Å.
Space group C2/m (No. 12)
One atom of each set of equivalent atoms:
Cs  0.0000  0.0000  0.0000  12 Rb 4.79-5.20
Rb  0.0000  0.2748  0.0000  2 Au 3.77
Rb  0.0888  0.5000  0.7551  2 Au 3.76, 1 Rb 4.00
Rb  0.1995  0.1465  0.5774  2 Au 3.63-3.79, 1 Rb 4.04
Au  0.0000  0.3188  0.5000  8 Rb 3.63-3.79



Going by the computed energies, the most stable comes first: <b>, <a>.



<a>
## CsRb3Au4 (PBE-GGA)

Data for a geometry-optimized CsRb3Au4 structure.

Output
* total moment: 0.00 μB/f.u.

Cell: 5.9790 5.9790 29.2957 Å, 90.00 90.00 120.00°
Last column: nearest neighbours and their distance in Å.
Space group R-3m (No. 166, hexagonal axes)
One atom of each set of equivalent atoms:
Cs  0.0000  0.0000  0.0000  8 Au 3.68-3.71
Rb  0.0000  0.0000  0.2492  8 Au 3.59-3.75
Rb  0.0000  0.0000  0.5000  8 Au 3.59-3.64
Au  0.0000  0.0000  0.1268  7 Rb 3.59-3.67, 1 Cs 3.71
Au  0.0000  0.0000  0.3773  5 Rb 3.59-3.75, 3 Cs 3.68



<b>
## CsRb3Au4 (PBE-GGA)

Data for a geometry-optimized CsRb3Au4 structure.

Output
* total moment: 0.00 μB/f.u.

Cell: 7.1749 7.1749 7.1749 Å, 90.00 90.00 90.00°
Last column: nearest neighbours and their distance in Å.
Space group Pm-3m (No. 221)
One atom of each set of equivalent atoms:
Cs  0.0000  0.0000  0.0000  6 Au 3.59
Rb  0.0000  0.5000  0.5000  6 Au 3.59
Au  0.0000  0.0000  0.5000  4 Rb 3.59, 2 Cs 3.59
Au  0.5000  0.5000  0.5000  6 Rb 3.59



Going by the computed energies, the most stable comes first: <a>, <b>.